VASP calculation (GGA-PBE) on In2TcMo after structural relaxation.

Properties
VASP energy: -24.6 eV for the cell shown
Formation energy from the elements: 2.1 eV per formula unit
Space-group type: I4/mmm, No. 139
Spin magnetization: 0.67 μB/f.u.

Cell lengths 5.205, 5.205, 5.205 Å; angles 133.79, 133.79, 67.42 degrees
Element x y z (fractional)
In (0.250, 0.750, 0.500)
In (0.750, 0.250, 0.500)
Tc (0.000, 0.000, 0.000)
Mo (0.500, 0.500, 0.000)